Material: CaV2O4
Method: DFT, PBE with a Hubbard U
State: relaxed

Cell lengths 6.384, 6.384, 6.384 Å; angles 58.45, 58.45, 58.45 degrees
Fractional positions:
Ca  0.000  0.000  0.000
Ca  0.378  0.378  0.378
V  0.004  0.004  0.492
V  0.004  0.492  0.004
V  0.492  0.004  0.004
V  0.621  0.621  0.621
O  0.230  0.742  0.742
O  0.237  0.237  0.237
O  0.248  0.248  0.805
O  0.248  0.805  0.248
O  0.742  0.230  0.742
O  0.742  0.742  0.230
O  0.748  0.748  0.748
O  0.805  0.248  0.248

N(E_F) ... 0.000 states/eV/f.u.
M_tot ... 4.0 μB/f.u.
Excess energy over the best structure of this formula in the dataset ... 98 meV per atom
Mass density ... 3.85 g/cm3